1.
LiTa3Pd: single point on PBEsol structure, SCAN. Values from VASP.

```
&SYSTEM
  ibrav = 0, nat = 5, ntyp = 3
/
ATOMIC_SPECIES
Li 6.94 Li.upf
Pd 106.42 Pd.upf
Ta 180.95 Ta.upf
ATOMIC_POSITIONS crystal
Li 0.000 0.000 0.000
Pd 0.500 0.500 0.500
Ta 0.000 0.500 0.000
Ta 0.000 0.000 0.500
Ta 0.500 0.000 0.000
CELL_PARAMETERS angstrom
4.312 0.000 0.000
0.000 4.312 0.000
0.000 0.000 4.312
```

Summary:
The formation energy is 1.076 eV/atom.

2.
Li3TcPd: single point on PBEsol structure, SCAN. Values from VASP.

```
&SYSTEM
  ibrav = 0, nat = 5, ntyp = 3
/
ATOMIC_SPECIES
Tc 98.00 Tc.upf
Pd 106.42 Pd.upf
Li 6.94 Li.upf
ATOMIC_POSITIONS crystal
Tc 0.500 0.500 0.500
Pd 0.000 0.000 0.000
Li 0.000 0.500 0.000
Li 0.000 0.000 0.500
Li 0.500 0.000 0.000
CELL_PARAMETERS angstrom
4.419 0.000 0.000
0.000 4.419 0.000
0.000 0.000 4.419
```

Summary:
For the relative energy among the computed polymorphs, the calculation gives 0.00 eV per formula unit. The formation energy is 0.750 eV/atom.

3.
LiTePd3: single point on PBEsol structure, SCAN. Values from VASP.

```
&SYSTEM
  ibrav = 0, nat = 5, ntyp = 3
/
ATOMIC_SPECIES
Te 127.60 Te.upf
Pd 106.42 Pd.upf
Li 6.94 Li.upf
ATOMIC_POSITIONS crystal
Te 0.000 0.000 0.000
Pd 0.000 0.500 0.000
Pd 0.000 0.000 0.500
Pd 0.500 0.000 0.000
Li 0.500 0.500 0.500
CELL_PARAMETERS angstrom
-1.728 -4.577 -0.417
4.296 -1.450 -1.885
1.634 -1.028 4.515
```

Summary:
The uncorrected energy comes out at -27.55 eV per atom.

4.
Li3TePd: single point on PBEsol structure, SCAN. Values from VASP.

```
&SYSTEM
  ibrav = 0, nat = 5, ntyp = 3
/
ATOMIC_SPECIES
Te 127.60 Te.upf
Pd 106.42 Pd.upf
Li 6.94 Li.upf
ATOMIC_POSITIONS crystal
Te 0.000 0.000 0.000
Pd 0.500 0.500 0.500
Li 0.000 0.500 0.000
Li 0.000 0.000 0.500
Li 0.500 0.000 0.000
CELL_PARAMETERS angstrom
-4.746 -1.283 -0.921
1.538 -4.420 -1.765
-0.361 -1.958 4.589
```

Summary:
The uncorrected energy comes out at -15.54 eV per atom.

5.
LiTi3Pd: single point on PBEsol structure, SCAN. Values from VASP.

```
&SYSTEM
  ibrav = 0, nat = 5, ntyp = 3
/
ATOMIC_SPECIES
Li 6.94 Li.upf
Pd 106.42 Pd.upf
Ti 47.87 Ti.upf
ATOMIC_POSITIONS crystal
Li 0.500 0.500 0.500
Pd 0.000 0.000 0.000
Ti 0.000 0.500 0.000
Ti 0.000 0.000 0.500
Ti 0.500 0.000 0.000
CELL_PARAMETERS angstrom
-1.593 3.447 2.906
0.173 -3.033 3.693
4.505 1.335 0.885
```

Summary:
The formation energy is 0.574 eV/atom.

6.
LiTi2Pd2: single point on PBEsol structure, SCAN. Values from VASP.

```
&SYSTEM
  ibrav = 0, nat = 10, ntyp = 3
/
ATOMIC_SPECIES
Li 6.94 Li.upf
Pd 106.42 Pd.upf
Ti 47.87 Ti.upf
ATOMIC_POSITIONS crystal
Li 0.000 0.000 0.000
Li 0.000 0.500 0.500
Pd 0.000 0.363 0.863
Pd 0.000 0.863 0.637
Pd 0.000 0.637 0.137
Pd 0.000 0.137 0.363
Ti 0.500 0.159 0.659
Ti 0.500 0.659 0.841
Ti 0.500 0.841 0.341
Ti 0.500 0.341 0.159
CELL_PARAMETERS angstrom
-2.485 1.101 0.746
-3.560 -5.759 -3.361
0.210 -3.906 6.469
```

Summary:
The formation energy is -0.475 eV/atom.

D(E_F) across the listed records, respectively: 1.03; 0.52; 0.36; 0.26; 1.30; 0.65 states/eV per atom.